Li3Sn2Ge2Au4 | PBE | optimized geometry

Calculated values
Total magnetic moment   0.00 μB per cell
Total DFT energy (no corrections)   -3.625 eV/atom
Crystal system   trigonal
Energy of formation from the pure elements   -0.3441 eV per atom

extended XYZ file:
```
11
Lattice="4.473 0.000 0.000 -2.237 3.874 0.000 0.000 0.000 12.589" Properties=species:S:1:pos:R:3 pbc="T T T"
Li 0.000 0.000 0.000
Li 0.000 0.000 3.024
Li 0.000 0.000 9.565
Sn 0.000 2.583 7.321
Sn 2.237 1.291 5.268
Ge 0.000 2.583 1.669
Ge 2.237 1.291 10.920
Au 0.000 2.583 4.295
Au 0.000 2.583 11.262
Au 2.237 1.291 1.327
Au 2.237 1.291 8.294
```


Pr2ThAu | PBE | optimized geometry

Calculated values
Total magnetic moment   0.00 μB per cell
Total DFT energy (no corrections)   -5.244 eV/atom
ΔE to the lowest computed polymorph   171.2 meV/atom
Crystal system   trigonal
Energy of formation from the pure elements   -0.1800 eV per atom

extended XYZ file:
```
4
Lattice="1.867 1.078 10.448 -1.867 1.078 10.448 0.000 -2.156 10.448" Properties=species:S:1:pos:R:3 pbc="T T T"
Pr 0.000 0.000 0.000
Pr 0.000 0.000 5.940
Th 0.000 0.000 23.865
Au 0.000 0.000 18.637
```